[1]
# HfMnCrRe

HfMnCrRe after structural relaxation (PBE-GGA, the Alexandria database).

Values from the calculation:
- calculated density (Mg/m³) = 13.717
- Fermi-level density of states (states/eV/cell) = 9.658
- E_form (eV per atom) = -0.060
- E (eV per atom) = -10.359

a = 6.1125 Å, b = 6.1125 Å, c = 6.1125 Å
α = 90.00°, β = 90.00°, γ = 90.00°
Last column: nearest neighbours and their distance in Å.
Space group F-43m (No. 216)
Asymmetric unit:
Hf1 0.0000 0.0000 0.0000  4 Cr 2.65, 4 Mn 2.65
Mn1 0.2500 0.2500 0.7500  4 Hf 2.65, 4 Re 2.65
Cr1 0.2500 0.2500 0.2500  4 Hf 2.65, 4 Re 2.65
Re1 0.0000 0.0000 0.5000  4 Cr 2.65, 4 Mn 2.65



[2]
# P2Rh

P2Rh after structural relaxation (PBE-GGA, the Alexandria database).

Values from the calculation:
- calculated density (Mg/m³) = 6.567
- Fermi-level density of states (states/eV/cell) = 1.336
- E_form (eV per atom) = -0.228
- E (eV per atom) = -6.285

a = 3.1588 Å, b = 3.1588 Å, c = 4.8237 Å
α = 90.00°, β = 90.00°, γ = 120.00°
Last column: nearest neighbours and their distance in Å.
Space group P-3m1 (No. 164)
Asymmetric unit:
P1 0.3333 0.6667 0.1487  3 P 2.32, 3 Rh 2.49
Rh1 0.0000 0.0000 0.5000  6 P 2.49



[3]
# La2SeBr

La2SeBr after structural relaxation (PBE-GGA, the Alexandria database).

Values from the calculation:
- calculated density (Mg/m³) = 5.882
- Fermi-level density of states (states/eV/cell) = 6.392
- uncorrected formation energy (eV/atom) = -1.356
- E (eV per atom) = -5.109
- energy relative to the lowest polymorph listed for this composition (eV/atom) = 0.286

a = 4.0657 Å, b = 6.6243 Å, c = 9.1547 Å
α = 90.00°, β = 90.00°, γ = 90.00°
Last column: nearest neighbours and their distance in Å.
Space group Cmmm (No. 65)
Asymmetric unit:
La1 0.0000 0.0000 0.2313  2 Se 2.94, 2 Br 3.19
Se1 0.0000 0.5000 0.0000  4 La 2.94
Br1 0.0000 0.5000 0.5000  4 La 3.19



Q: Among the records above, which one has the highest calculated density?
A: HfMnCrRe